Compound: FeCoRu2
Source: the Alexandria database
Functional: PBE
Structure: optimized geometry

a b c (Å): 8.701 2.641 4.462
angles (deg): 90.00 100.65 90.00
Element x y z (fractional)
Fe1 0.000 0.000 0.000
Fe2 0.500 0.500 0.000
Co1 0.244 0.500 0.227
Co2 0.744 0.000 0.227
Ru1 0.247 0.000 0.735
Ru2 0.494 0.000 0.487
Ru3 0.747 0.500 0.735
Ru4 0.994 0.500 0.487

Results
Its symmetry is Cm, No. 8. Its crystal system is monoclinic. As for the distance to the lowest polymorph of the same formula: 16.5 meV per atom. As for the volume: 100.8 Å³/cell.